Compound: CsEuP
Source: Alexandria
Functional: PBE-GGA
Structure: optimized geometry

Results
- Raw total energy: -0.2217 hartree per atom
- Formation enthalpy at 0 K: -0.5201 eV per atom

Lattice parameters (Å, degrees): 7.1002 4.7552 4.7552 120.00 90.00 90.00
With the nearest neighbours (Å) after each atom.
Element x y z (fractional)
1 Cs 0.7405 0.6667 0.3333  3 P 3.61
2 Eu 0.1897 0.3333 0.6667  3 P 2.87
3 P 0.0698 0.0000 0.0000  3 Eu 2.87